80
Lattice="16.238 0.000 0.000 -5.413 15.309 0.000 -5.413 -7.655 13.258" Properties=species:S:1:pos:R:3 comment="Sr3La12Ce5 GGA-PBE relaxed" ef_ev_per_fu=13.09 density_g_cm3=5.30 pbc="T T T"
Sr 9.472 4.784 1.657
Sr 9.472 10.525 1.657
Sr -1.353 6.698 8.286
Sr 1.353 -0.957 4.972
Sr 12.179 0.000 3.315
Sr 1.353 7.655 3.315
Sr 4.060 0.000 9.944
Sr -6.766 7.655 9.944
Sr 4.060 8.612 8.286
Sr 6.766 0.957 4.972
Sr -4.060 -2.871 11.601
Sr -4.060 2.871 11.601
Ce -1.353 3.827 3.315
Ce -2.706 7.655 0.000
Ce 0.000 0.000 0.000
Ce 4.060 2.871 1.657
Ce 5.413 -3.827 6.629
Ce 5.413 7.655 0.000
Ce -4.060 8.612 4.972
Ce 6.766 -4.784 11.601
Ce 6.766 6.698 4.972
Ce 1.353 -3.827 9.944
Ce 4.060 11.482 3.315
Ce 2.706 3.827 6.629
Ce 8.119 0.000 0.000
Ce -2.706 -3.827 6.629
Ce -1.353 0.957 8.286
Ce -1.353 12.439 1.657
Ce -5.413 3.827 6.629
Ce 9.472 -0.957 8.286
Ce 1.353 4.784 11.601
Ce 6.766 3.827 9.944
La 5.381 -6.612 13.209
La 0.032 4.306 5.701
La -3.989 4.233 4.169
La 6.696 2.334 0.879
La 2.615 5.219 9.139
La -4.049 7.277 2.509
La -1.423 9.554 5.048
La -3.989 12.976 0.879
La 5.504 -5.219 9.139
La 6.756 8.032 2.509
La 8.151 4.391 5.750
La 2.738 6.612 13.209
La -5.321 6.697 6.580
La 4.070 5.670 1.582
La -5.444 10.918 5.750
La 2.738 -3.348 7.557
La -0.092 1.477 2.460
La 4.070 10.017 0.928
La 6.696 11.076 4.169
La -1.363 5.293 0.928
La 2.615 -6.178 10.798
La 4.130 5.755 5.048
La 8.027 8.613 6.580
La 6.776 -1.984 11.677
La 1.283 1.900 8.211
La -2.615 -0.958 6.678
La -1.363 9.639 1.582
La -1.283 -3.421 9.089
La 2.798 13.832 2.460
La 6.776 2.362 12.331
La 1.343 -2.362 12.331
La 2.675 11.003 5.701
La 5.504 6.178 10.798
La 10.857 -3.263 7.508
La 10.734 0.958 6.678
La 2.675 1.043 0.049
La 1.343 1.984 11.677
La -0.092 12.874 4.120
La -1.343 -0.377 10.749
La -2.738 3.263 7.508
La 9.402 -5.321 12.380
La 6.836 -1.900 8.211
La -1.283 5.321 12.380
La 9.462 0.377 10.749
La 2.798 2.435 4.120
La 9.402 3.421 9.089
La 5.381 3.348 7.557
La 0.032 14.266 0.049

---

16
Lattice="-8.069 -0.763 -4.235 -1.978 -7.333 5.091 2.322 7.875 4.029" Properties=species:S:1:pos:R:3 comment="SrLa4Ce3Te8 GGA-PBE relaxed" density_g_cm3=6.40 e_form_raw_kj_per_mol_atoms=-147.4 pbc="T T T"
Sr -0.989 -3.667 2.546
La -4.034 -0.382 -2.118
La -2.873 3.556 -0.103
La 0.000 0.000 0.000
La 1.161 3.937 2.015
Ce -5.024 -4.048 0.428
Ce -3.863 -0.111 2.443
Ce 0.172 0.271 4.560
Te -1.192 2.180 6.760
Te -2.335 -1.734 4.761
Te -1.365 1.904 2.257
Te -5.182 1.802 4.665
Te -2.543 -2.024 0.220
Te -6.360 -2.127 2.628
Te -5.390 1.512 0.124
Te -6.533 -2.402 -1.874

---

12
Lattice="4.606 0.000 0.000 0.000 9.361 0.230 -2.303 -2.805 9.789" Properties=species:S:1:pos:R:3 comment="Sr3La2CeTe6 GGA-PBE relaxed" density_g_cm3=5.65 e_form_raw_kj_per_mol_atoms=-153.1 pbc="T T T"
Sr 2.303 4.680 0.115
Sr 2.303 -0.304 6.552
Sr 0.000 6.859 3.466
La 2.303 4.377 6.691
La 0.000 2.179 3.327
Ce 2.303 0.000 0.000
Te 0.000 6.685 6.777
Te 2.303 4.491 3.422
Te 2.303 -0.130 3.241
Te 0.000 2.287 0.067
Te 2.303 4.269 9.951
Te 0.000 2.065 6.597

---

4
Lattice="3.198 0.000 0.000 1.599 2.769 0.000 1.599 0.923 12.174" Properties=species:S:1:pos:R:3 comment="La2CeTa GGA-PBE relaxed" ef_ev_per_fu=2.45 density_g_cm3=9.23 pbc="T T T"
La 1.599 0.923 9.248
La 4.796 2.769 2.926
Ce 3.198 1.846 6.087
Ta 0.000 0.000 0.000

---

4
Lattice="-0.100 2.144 2.286 -2.524 0.203 1.849 4.021 -7.027 8.918" Properties=species:S:1:pos:R:3 comment="LaCe2Ta GGA-PBE relaxed" ef_ev_per_fu=2.01 density_g_cm3=9.83 pbc="T T T"
La 0.698 -2.340 6.527
Ce 2.858 -5.172 7.127
Ce -1.461 0.492 5.926
Ta 0.000 0.000 0.000

---

12
Lattice="-0.635 4.186 -3.039 -2.109 -6.051 -7.899 -6.175 1.142 7.323" Properties=species:S:1:pos:R:3 comment="La6Tb5Ce GGA-PBE relaxed" ef_ev_per_fu=0.48 density_g_cm3=7.13 pbc="T T T"
Tb -2.803 2.162 -0.909
Tb -5.014 0.139 1.232
Tb -1.054 -3.026 -3.950
Tb -3.905 -0.863 -4.847
Tb -6.115 -2.885 -2.706
Ce 0.000 0.000 0.000
La -5.913 0.717 -2.255
La -4.856 3.750 1.705
La -1.903 -2.457 -7.460
La -7.015 1.734 3.845
La -4.063 -4.474 -5.321
La -3.006 -1.440 -1.360

---

Question: What is the formula in the sixth record?
Answer: La6Tb5Ce

---

Please write out number 4 again, unchanged.
4
Lattice="3.198 0.000 0.000 1.599 2.769 0.000 1.599 0.923 12.174" Properties=species:S:1:pos:R:3 comment="La2CeTa GGA-PBE relaxed" ef_ev_per_fu=2.45 density_g_cm3=9.23 pbc="T T T"
La 1.599 0.923 9.248
La 4.796 2.769 2.926
Ce 3.198 1.846 6.087
Ta 0.000 0.000 0.000